Record 1
Here is a geometry-optimized Ba2ErReN4 structure from Alexandria via LeMat-Bulk. Energies are from PBE.

The structure in POSCAR format:
```
Ba2ErReN4
1.0
-1.141 -2.512 5.178
-1.342 -6.595 -0.171
9.657 -3.369 3.819
Ba Er Re N
4 2 2 8
Direct
0.182 0.000 0.636
0.818 0.000 0.364
0.568 0.500 0.864
0.932 0.500 0.136
0.750 0.500 0.500
0.000 0.000 0.000
0.250 0.500 0.500
0.500 0.000 0.000
0.345 0.817 0.088
0.250 0.183 0.912
0.837 0.817 0.912
0.567 0.183 0.088
0.405 0.683 0.412
0.500 0.317 0.588
0.913 0.683 0.588
0.183 0.317 0.412
```

=====

Record 2
Here is a geometry-optimized Ba2ErRe2N6 structure from Alexandria via LeMat-Bulk. Energies are from PBE.

The structure in POSCAR format:
```
Ba2ErRe2N6
1.0
-1.462 3.576 -4.778
-3.909 -4.513 1.770
0.672 5.892 4.204
Ba Er Re N
2 1 2 6
Direct
0.715 0.431 0.190
0.285 0.569 0.810
0.500 0.000 0.500
0.959 0.918 0.796
0.041 0.082 0.204
0.760 0.521 0.647
0.199 0.914 0.236
0.285 0.086 0.764
0.801 0.086 0.764
0.715 0.914 0.236
0.240 0.479 0.353
```

=====

no.,total moment (μB/f.u.),uncorrected energy (eV for the cell shown)
1,0.0,-114.81
2,0.0,-91.82